The following is a PBE calculation of crystalline Sc2NbCd at its relaxed geometry, from Alexandria via LeMat-Bulk.

a b c (Å): 3.0753 3.0753 32.3600
angles (deg): 90.00 90.00 120.00
Closest atoms and distances in Å follow each position.
Space group R-3m (No. 166, hexagonal axes)
Symmetry-distinct sites (fractional):
Sc (0.0000, 0.0000, 0.0863) x6  1 Nb 2.79, 6 Sc 3.08
Nb (0.0000, 0.0000, 0.0000) x3  2 Sc 2.79, 6 Nb 3.08
Cd (0.0000, 0.0000, 0.5000) x3  6 Cd 3.08, 6 Sc 3.15

Summary:
Uncorrected energy ... -5.578 eV per atom
ΔE_f ... 32 kJ per mole of atoms
D(E_F) ... 1.42 states/eV/atom



The following is a PBE calculation of crystalline CoCu4Pb at its relaxed geometry, from Alexandria via LeMat-Bulk.

a b c (Å): 7.0046 7.0046 7.0046
angles (deg): 90.00 90.00 90.00
Closest atoms and distances in Å follow each position.
Space group F-43m (No. 216)
Symmetry-distinct sites (fractional):
Co (0.0000, 0.0000, 0.0000) x4  12 Cu 2.90, 4 Pb 3.03
Cu (0.1261, 0.1261, 0.6261) x16  6 Cu 2.46-2.50
Pb (0.2500, 0.2500, 0.2500) x4  12 Cu 2.91, 4 Co 3.03

Summary:
Uncorrected energy ... -4.222 eV per atom
ΔE_f ... 30 kJ per mole of atoms
D(E_F) ... 1.13 states/eV/atom